Compound: TiTe2Ru
Source: Alexandria via LeMat-Bulk
Functional: PBE-GGA
Structure: optimized geometry

abc: 4.757 4.757 4.757
angles: 60.00 60.00 60.00
Element x y z (fractional)
1 Ti 0.000 0.000 0.000
2 Te 0.250 0.250 0.250
3 Te 0.750 0.750 0.750
4 Ru 0.500 0.500 0.500

Values from the calculation:
Size of the total moment   0.0 μB per formula unit
E_form (uncorrected)   -3.7 kJ/mol of atoms

---

Compound: Mg2InCl
Source: Alexandria via LeMat-Bulk
Functional: PBE-GGA
Structure: optimized geometry

abc: 8.941 8.941 8.941
angles: 22.42 22.42 22.42
Element x y z (fractional)
1 Mg 0.245 0.245 0.245
2 Mg 0.755 0.755 0.755
3 In 0.000 0.000 0.000
4 Cl 0.500 0.500 0.500

Values from the calculation:
Size of the total moment   0.0 μB per formula unit
E_form (uncorrected)   -49.1 kJ/mol of atoms

---

Compound: TeAu3
Source: Alexandria via LeMat-Bulk
Functional: PBE-GGA
Structure: optimized geometry

abc: 4.217 4.217 7.233
angles: 97.87 97.87 43.16
Element x y z (fractional)
1 Te 0.000 0.000 0.000
2 Au 0.242 0.242 0.733
3 Au 0.500 0.500 0.500
4 Au 0.758 0.758 0.267

Values from the calculation:
Size of the total moment   0.0 μB per formula unit
E_form (uncorrected)   12.0 kJ/mol of atoms